No. 1
A plane-wave DFT calculation with GGA-PBE was carried out for a geometry-optimized CaScIr3 structure. Values from VASP.

```
&SYSTEM
  ibrav = 0, nat = 5, ntyp = 3
/
ATOMIC_SPECIES
Sc 44.96 Sc.upf
Ca 40.08 Ca.upf
Ir 192.22 Ir.upf
ATOMIC_POSITIONS angstrom
Sc 1.739 -2.784 2.478
Ca 0.000 0.000 0.000
Ir -0.197 -2.355 -0.232
Ir 2.333 -0.232 0.378
Ir -0.397 -0.197 2.333
CELL_PARAMETERS angstrom
-0.794 -0.394 4.665
-0.393 -4.710 -0.465
4.665 -0.464 0.755
```

Computed properties:
Crystal system: cubic
SG: No. 221
ΔH_f (0 K), eV per atom: 1.53
D(E_F), states/eV/f.u.: 10.964

No. 2
A plane-wave DFT calculation with GGA-PBE was carried out for a geometry-optimized LaReW structure. Values from VASP.

```
&SYSTEM
  ibrav = 0, nat = 3, ntyp = 3
/
ATOMIC_SPECIES
La 138.91 La.upf
Re 186.21 Re.upf
W 183.84 W.upf
ATOMIC_POSITIONS angstrom
La 0.000 0.000 0.000
Re 2.304 1.330 1.209
W 0.000 2.660 2.036
CELL_PARAMETERS angstrom
4.608 0.000 0.000
-2.304 3.991 0.000
0.000 0.000 3.245
```

Computed properties:
Crystal system: trigonal
SG: No. 156
ΔH_f (0 K), eV per atom: 0.78
D(E_F), states/eV/f.u.: 3.088

No. 3
A plane-wave DFT calculation with GGA-PBE was carried out for a geometry-optimized CaSi2H structure. Values from VASP.

```
&SYSTEM
  ibrav = 0, nat = 16, ntyp = 3
/
ATOMIC_SPECIES
Ca 40.08 Ca.upf
Si 28.09 Si.upf
H 1.01 H.upf
ATOMIC_POSITIONS angstrom
Ca 1.328 0.000 3.566
Ca 0.219 1.925 9.046
Ca 3.259 0.000 9.055
Ca 4.368 1.925 3.575
Si 3.514 0.000 1.302
Si 2.405 1.925 6.782
Si -1.036 0.000 6.601
Si 0.072 1.925 1.120
Si 1.260 0.000 0.409
Si 0.151 1.925 5.889
Si 3.418 0.000 5.783
Si 4.527 1.925 0.303
H 1.139 0.000 8.680
H 2.248 1.925 3.200
H -1.184 0.000 8.199
H -0.075 1.925 2.719
CELL_PARAMETERS angstrom
6.659 0.000 0.001
0.000 3.849 0.000
-2.218 0.000 10.961
```

Computed properties:
Crystal system: monoclinic
SG: No. 8
D(E_F), states/eV/f.u.: 0.618

No. 4
A plane-wave DFT calculation with GGA-PBE was carried out for a geometry-optimized Cs2NaHgPd structure. Values from VASP.

```
&SYSTEM
  ibrav = 0, nat = 5, ntyp = 4
/
ATOMIC_SPECIES
Cs 132.91 Cs.upf
Na 22.99 Na.upf
Hg 200.59 Hg.upf
Pd 106.42 Pd.upf
ATOMIC_POSITIONS angstrom
Cs -1.840 1.019 2.620
Cs -0.964 2.712 -1.732
Na 2.202 1.418 0.995
Hg -0.602 5.150 1.882
Pd 0.000 0.000 0.000
CELL_PARAMETERS angstrom
-1.929 5.424 -3.465
-3.679 2.039 5.239
4.404 2.837 1.989
```

Computed properties:
Crystal system: tetragonal
SG: No. 123
ΔH_f (0 K), eV per atom: 0.01
D(E_F), states/eV/f.u.: 2.749

No. 5
A plane-wave DFT calculation with GGA-PBE was carried out for a geometry-optimized Ta2InHPt structure. Values from VASP.

```
&SYSTEM
  ibrav = 0, nat = 5, ntyp = 4
/
ATOMIC_SPECIES
H 1.01 H.upf
In 114.82 In.upf
Pt 195.08 Pt.upf
Ta 180.95 Ta.upf
ATOMIC_POSITIONS angstrom
H 0.000 0.000 0.000
In -3.293 -1.563 0.016
Pt -0.709 -1.765 1.222
Ta -0.876 -0.786 -1.644
Ta -1.708 0.989 0.437
CELL_PARAMETERS angstrom
-3.416 1.977 0.874
-1.751 -1.573 -3.287
-1.418 -3.530 2.445
```

Computed properties:
Crystal system: tetragonal
SG: No. 123
D(E_F), states/eV/f.u.: 1.742

No. 6
A plane-wave DFT calculation with GGA-PBE was carried out for a geometry-optimized Ac2CuNi structure. Values from VASP.

```
&SYSTEM
  ibrav = 0, nat = 4, ntyp = 3
/
ATOMIC_SPECIES
Ac 227.00 Ac.upf
Cu 63.55 Cu.upf
Ni 58.69 Ni.upf
ATOMIC_POSITIONS angstrom
Ac 6.426 3.098 4.302
Ac 4.284 1.880 0.653
Cu 4.284 1.855 6.223
Ni 4.284 4.325 6.232
CELL_PARAMETERS angstrom
4.284 0.000 0.000
2.142 3.705 0.013
2.142 1.198 7.500
```

Computed properties:
Crystal system: monoclinic
SG: No. 8
ΔH_f (0 K), eV per atom: -0.21
D(E_F), states/eV/f.u.: 3.527

No. 7
A plane-wave DFT calculation with GGA-PBE was carried out for a geometry-optimized CaAu3S structure. Values from VASP.

```
&SYSTEM
  ibrav = 0, nat = 5, ntyp = 3
/
ATOMIC_SPECIES
Ca 40.08 Ca.upf
Au 196.97 Au.upf
S 32.06 S.upf
ATOMIC_POSITIONS angstrom
Ca 0.000 0.000 0.000
Au 0.000 2.735 0.000
Au 0.000 0.000 2.735
Au 2.735 0.000 0.000
S 2.735 2.735 2.735
CELL_PARAMETERS angstrom
5.469 0.000 0.000
0.000 5.469 0.000
0.000 0.000 5.469
```

Computed properties:
Formation energy (no corrections), eV per atom: 0.962
Crystal system: cubic
SG: No. 221
D(E_F), states/eV/f.u.: 7.550

No. 8
A plane-wave DFT calculation with GGA-PBE was carried out for a geometry-optimized LaIrSCl2 structure. Values from VASP.

```
&SYSTEM
  ibrav = 0, nat = 5, ntyp = 4
/
ATOMIC_SPECIES
Cl 35.45 Cl.upf
S 32.06 S.upf
Ir 192.22 Ir.upf
La 138.91 La.upf
ATOMIC_POSITIONS angstrom
Cl 0.000 2.721 0.000
Cl 2.721 0.000 0.000
S 0.000 0.000 2.851
Ir 2.721 2.721 2.851
La 0.000 0.000 0.000
CELL_PARAMETERS angstrom
5.442 0.000 0.000
0.000 5.442 0.000
0.000 0.000 5.702
```

Computed properties:
Formation energy (no corrections), eV per atom: -0.083
Crystal system: tetragonal
SG: No. 123
D(E_F), states/eV/f.u.: 10.120

No. 9
A plane-wave DFT calculation with GGA-PBE was carried out for a geometry-optimized HfMgTi3 structure. Values from VASP.

```
&SYSTEM
  ibrav = 0, nat = 5, ntyp = 3
/
ATOMIC_SPECIES
Mg 24.30 Mg.upf
Hf 178.49 Hf.upf
Ti 47.87 Ti.upf
ATOMIC_POSITIONS angstrom
Mg 0.000 0.000 0.000
Hf -1.712 3.330 1.717
Ti -1.696 -0.033 1.667
Ti 1.171 1.669 1.224
Ti -1.187 1.694 -1.174
CELL_PARAMETERS angstrom
-2.373 3.387 -2.349
-3.392 -0.065 3.334
2.342 3.338 2.448
```

Computed properties:
Crystal system: cubic
SG: No. 221
ΔH_f (0 K), eV per atom: 1.21
D(E_F), states/eV/f.u.: 8.049

No. 10
A plane-wave DFT calculation with GGA-PBE was carried out for a geometry-optimized ZrIBrO2 structure. Values from VASP.

```
&SYSTEM
  ibrav = 0, nat = 5, ntyp = 4
/
ATOMIC_SPECIES
I 126.90 I.upf
O 16.00 O.upf
Br 79.90 Br.upf
Zr 91.22 Zr.upf
ATOMIC_POSITIONS angstrom
I 2.601 -1.728 -0.067
O -0.403 -0.533 -1.925
O -1.054 -1.612 0.667
Br 0.000 0.000 0.000
Zr 1.144 -3.873 -1.326
CELL_PARAMETERS angstrom
-2.108 -3.224 1.334
-0.807 -1.065 -3.851
5.203 -3.457 -0.134
```

Computed properties:
Formation energy (no corrections), eV per atom: 0.560
Crystal system: tetragonal
SG: No. 123
D(E_F), states/eV/f.u.: 3.811

No. 11
A plane-wave DFT calculation with GGA-PBE was carried out for a geometry-optimized Ca2TiTlW structure. Values from VASP.

```
&SYSTEM
  ibrav = 0, nat = 5, ntyp = 4
/
ATOMIC_SPECIES
Tl 204.38 Tl.upf
Ca 40.08 Ca.upf
W 183.84 W.upf
Ti 47.87 Ti.upf
ATOMIC_POSITIONS angstrom
Tl 2.894 2.313 2.894
Ca 0.000 0.000 2.894
Ca 2.894 0.000 0.000
W 0.000 0.000 0.000
Ti 0.000 2.313 0.000
CELL_PARAMETERS angstrom
5.788 0.000 0.000
0.000 4.626 0.000
0.000 0.000 5.788
```

Computed properties:
Crystal system: tetragonal
SG: No. 123
ΔH_f (0 K), eV per atom: 0.79
D(E_F), states/eV/f.u.: 5.132

No. 12
A plane-wave DFT calculation with GGA-PBE was carried out for a geometry-optimized LaIr2C structure. Values from VASP.

```
&SYSTEM
  ibrav = 0, nat = 8, ntyp = 3
/
ATOMIC_SPECIES
C 12.01 C.upf
Ir 192.22 Ir.upf
La 138.91 La.upf
ATOMIC_POSITIONS angstrom
C 2.495 2.495 0.000
C 2.495 4.991 3.216
Ir 2.776 1.248 1.608
Ir 2.214 3.743 1.608
Ir 3.743 4.710 4.824
Ir 6.238 5.272 4.824
La 0.000 0.000 0.000
La 4.991 2.495 3.216
CELL_PARAMETERS angstrom
4.991 0.000 0.000
0.000 4.991 0.000
2.495 2.495 6.432
```

Computed properties:
Crystal system: tetragonal
SG: No. 122
ΔH_f (0 K), eV per atom: -0.01
D(E_F), states/eV/f.u.: 2.606

No. 13
A plane-wave DFT calculation with GGA-PBE was carried out for a geometry-optimized SrPr2Cu structure. Values from VASP.

```
&SYSTEM
  ibrav = 0, nat = 4, ntyp = 3
/
ATOMIC_SPECIES
Sr 87.62 Sr.upf
Pr 140.91 Pr.upf
Cu 63.55 Cu.upf
ATOMIC_POSITIONS angstrom
Sr -5.347 -0.055 4.485
Pr -3.977 -2.104 7.761
Pr -2.505 0.241 1.528
Cu -4.209 1.756 -0.330
CELL_PARAMETERS angstrom
-2.511 3.015 0.541
-3.802 -0.378 -1.041
-4.379 -2.744 9.462
```

Computed properties:
Crystal system: trigonal
SG: No. 160
ΔH_f (0 K), eV per atom: 0.12
D(E_F), states/eV/f.u.: 7.129

Number 1: total DFT energy (no corrections) -5.454 eV/atom. Number 2: total DFT energy (no corrections) -9.325 eV/atom. Number 3: total DFT energy (no corrections) -4.324 eV/atom. Number 4: total DFT energy (no corrections) -1.690 eV/atom. Number 5: total DFT energy (no corrections) -7.304 eV/atom. Number 6: total DFT energy (no corrections) -4.730 eV/atom. Number 7: total DFT energy (no corrections) -2.230 eV/atom. Number 8: total DFT energy (no corrections) -4.405 eV/atom. Number 9: total DFT energy (no corrections) -5.833 eV/atom. Number 10: total DFT energy (no corrections) -3.778 eV/atom. Number 11: total DFT energy (no corrections) -4.656 eV/atom. Number 12: total DFT energy (no corrections) -7.974 eV/atom. Number 13: total DFT energy (no corrections) -3.716 eV/atom.